Entry 1:
Density functional theory data (PBEsol) for crystalline Mg2Zn2Se at its relaxed geometry.

Computed properties:
The value obtained for the energy is -2.360 eV/atom. The calculation puts the total moment at 0.0 μB/f.u. The density of states at the Fermi level is 1.36 states/eV/f.u. As for the uncorrected formation energy: -0.270 eV per atom. The density comes out at 4.48 g/cm³.

a = 8.127 Å, b = 8.108 Å, c = 3.520 Å
α = 77.79°, β = 77.17°, γ = 25.04°
Sites, in units of the cell vectors:
1 Mg 0.099 0.099 0.901
2 Mg 0.901 0.901 0.099
3 Zn 0.250 0.250 0.250
4 Zn 0.750 0.750 0.750
5 Se 0.500 0.500 0.500



Entry 2:
Density functional theory data (PBEsol) for crystalline MgSi2 at its relaxed geometry.

Computed properties:
The value obtained for the energy is -4.317 eV/atom. The calculation puts the total moment at 0.0 μB/f.u. The density of states at the Fermi level is 0.97 states/eV/f.u. As for the uncorrected formation energy: 0.087 eV per atom. The density comes out at 2.83 g/cm³.

a = 4.506 Å, b = 4.506 Å, c = 2.689 Å
α = 90.00°, β = 90.00°, γ = 120.00°
Sites, in units of the cell vectors:
1 Mg 0.000 0.000 0.000
2 Si 0.333 0.667 0.500
3 Si 0.667 0.333 0.500



Entry 3:
Density functional theory data (PBEsol) for crystalline Mg3Si2 at its relaxed geometry.

Computed properties:
The value obtained for the energy is -3.399 eV/atom. The calculation puts the total moment at 0.0 μB/f.u. The density of states at the Fermi level is 1.33 states/eV/f.u. As for the uncorrected formation energy: -0.070 eV per atom. The density comes out at 2.28 g/cm³.

a = 5.424 Å, b = 5.424 Å, c = 6.610 Å
α = 100.35°, β = 100.35°, γ = 85.35°
Sites, in units of the cell vectors:
1 Mg 0.151 0.849 0.750
2 Mg 0.270 0.359 0.019
3 Mg 0.359 0.270 0.519
4 Mg 0.641 0.730 0.481
5 Mg 0.730 0.641 0.981
6 Mg 0.849 0.151 0.250
7 Si 0.099 0.664 0.337
8 Si 0.336 0.901 0.163
9 Si 0.664 0.099 0.837
10 Si 0.901 0.336 0.663